LaNdH4 | PBE-GGA | relaxed

Lattice parameters (Å, degrees): 3.904 3.904 5.556 90.00 90.00 90.00
Positions (direct):
H  0.000  0.500  0.257
H  0.000  0.500  0.743
H  0.500  0.000  0.743
H  0.500  0.000  0.257
La  0.000  0.000  0.000
Nd  0.500  0.500  0.500

Calculated values
Calculated total energy = -4.498 eV per atom
Total moment = 0.01 μB/f.u.

***

LaNiH3 | PBE-GGA | relaxed

Lattice parameters (Å, degrees): 6.208 6.208 4.813 91.97 91.97 35.67
Positions (direct):
H  0.258  0.258  0.303
H  0.026  0.026  0.559
H  0.420  0.420  0.773
H  0.653  0.653  0.533
H  0.844  0.844  0.044
H  0.648  0.648  0.060
Ni  0.913  0.913  0.744
Ni  0.752  0.752  0.302
La  0.211  0.211  0.794
La  0.470  0.470  0.291

Calculated values
Calculated total energy = -4.585 eV per atom
Total moment = 0.00 μB/f.u.

***

LaNiSnH2 | PBE-GGA | relaxed

Lattice parameters (Å, degrees): 4.415 4.415 8.650 90.00 90.00 120.00
Positions (direct):
Sn  0.333  0.667  0.750
Sn  0.667  0.333  0.250
H  0.333  0.667  0.064
H  0.667  0.333  0.564
H  0.667  0.333  0.936
H  0.333  0.667  0.436
Ni  0.333  0.667  0.250
Ni  0.667  0.333  0.750
La  0.000  0.000  0.500
La  0.000  0.000  0.000

Calculated values
Calculated total energy = -4.833 eV per atom
Total moment = 0.00 μB/f.u.

***

LaNiSnH | PBE-GGA | relaxed

Lattice parameters (Å, degrees): 7.281 8.645 4.453 90.00 90.00 90.00
Positions (direct):
H  0.439  0.081  0.743
H  0.061  0.581  0.243
H  0.939  0.419  0.743
H  0.561  0.919  0.243
La  0.987  0.690  0.743
La  0.513  0.190  0.243
La  0.487  0.810  0.743
La  0.013  0.310  0.243
Sn  0.156  0.933  0.243
Sn  0.656  0.567  0.243
Sn  0.344  0.433  0.743
Sn  0.844  0.067  0.743
Ni  0.719  0.403  0.743
Ni  0.781  0.903  0.243
Ni  0.281  0.597  0.243
Ni  0.219  0.097  0.743

Calculated values
Calculated total energy = -5.086 eV per atom
Total moment = 0.00 μB/f.u.

***

LaNpH2Se2 | PBE-GGA | relaxed

Lattice parameters (Å, degrees): 3.986 3.986 7.921 90.00 90.00 120.00
Last column: magnetic moment on the atom in μB.
Positions (direct):
La  0.667  0.333  0.500  0.04
H  0.667  0.333  0.000  -0.02
H  0.000  0.000  0.500  0.00
Np  0.000  0.000  0.000  3.83
Se  0.333  0.667  0.241  -0.04
Se  0.333  0.667  0.759  -0.05

Calculated values
Calculated total energy = -6.426 eV per atom
Total moment = 4.00 μB/f.u.

***

LaZnSiH2O5 | PBE-GGA | relaxed

Lattice parameters (Å, degrees): 8.398 8.398 5.677 93.19 93.19 144.76
Last column: magnetic moment on the atom in μB.
Positions (direct):
Zn  0.165  0.585  0.514  0.15
Zn  0.585  0.165  0.014  0.15
O  0.065  0.334  0.998  0.01
O  0.192  0.120  0.831  0.01
O  0.444  0.841  0.847  0.05
O  0.483  0.807  0.314  0.03
O  0.120  0.192  0.331  0.01
O  0.841  0.444  0.347  0.05
O  0.807  0.483  0.814  0.03
O  0.677  0.596  0.473  0.01
O  0.334  0.065  0.498  0.01
O  0.596  0.677  0.973  0.01
H  0.329  0.354  0.384  0.00
H  0.354  0.329  0.884  0.00
H  0.247  0.085  0.693  0.00
H  0.085  0.247  0.193  0.00
Si  0.391  0.660  0.037  0.00
Si  0.660  0.391  0.537  0.00
La  0.973  0.798  0.148  0.07
La  0.798  0.973  0.648  0.07

Calculated values
Calculated total energy = -6.334 eV per atom
Total moment = 0.60 μB/f.u.